# PBE Ti2V4Co, relaxed
# Calculated total energy: -53.6 eV per formula unit
# DFT formation energy: 0.820 eV/atom
# Spin magnetization: 4.64 μB/f.u.
data_Ti2V4Co
_chemical_formula_sum 'Ti4 V8 Co2'
_space_group_name_H-M_alt 'I 4/m m m'
_space_group_IT_number 139
_space_group_name_Hall '-I 4 2'
_cell_length_a 4.285
_cell_length_b 4.285
_cell_length_c 13.206
_cell_angle_alpha 90.00
_cell_angle_beta 90.00
_cell_angle_gamma 90.00
loop_
_atom_site_label
_atom_site_fract_x
_atom_site_fract_y
_atom_site_fract_z
Ti1 0.000 0.000 0.119
V1 0.000 0.000 0.326
V2 0.000 0.500 0.000
Co1 0.000 0.000 0.500